(P)
Compound: PrTeSe
Source: Alexandria via LeMat-Bulk
Functional: GGA-PBE
Structure: optimized geometry

The structure in CIF format:
```
data_PrTeSe
_chemical_formula_sum 'Pr4 Te4 Se4'
_cell_length_a 17.720
_cell_length_b 4.397
_cell_length_c 4.393
_cell_angle_alpha 90.00
_cell_angle_beta 90.00
_cell_angle_gamma 90.00
_space_group_name_H-M_alt 'P 1'
_space_group_IT_number 1
_space_group_name_Hall 'P 1'
loop_
_atom_site_label
_atom_site_type_symbol
_atom_site_fract_x
_atom_site_fract_y
_atom_site_fract_z
Pr1 Pr 0.147 0.250 0.249
Pr2 Pr 0.353 0.750 0.749
Pr3 Pr 0.647 0.250 0.251
Pr4 Pr 0.853 0.750 0.751
Te1 Te 0.000 0.250 0.750
Te2 Te 0.000 0.750 0.250
Te3 Te 0.500 0.250 0.750
Te4 Te 0.500 0.750 0.250
Se1 Se 0.183 0.750 0.749
Se2 Se 0.317 0.250 0.249
Se3 Se 0.683 0.750 0.751
Se4 Se 0.817 0.250 0.251
```

=====

(Q)
Compound: PrTeSe
Source: Alexandria via LeMat-Bulk
Functional: GGA-PBE
Structure: optimized geometry

The structure in CIF format:
```
data_PrTeSe
_chemical_formula_sum 'Pr2 Te2 Se2'
_cell_length_a 8.138
_cell_length_b 8.138
_cell_length_c 8.138
_cell_angle_alpha 149.33
_cell_angle_beta 137.17
_cell_angle_gamma 53.60
_space_group_name_H-M_alt 'P 1'
_space_group_IT_number 1
_space_group_name_Hall 'P 1'
loop_
_atom_site_label
_atom_site_type_symbol
_atom_site_fract_x
_atom_site_fract_y
_atom_site_fract_z
Pr1 Pr 0.155 0.155 0.000
Pr2 Pr 0.845 0.845 0.000
Te1 Te 0.251 0.500 0.751
Te2 Te 0.749 0.500 0.249
Se1 Se 0.290 0.790 0.500
Se2 Se 0.710 0.210 0.500
```

=====

Stability summary: most stable (Q), least stable (P).

=====

(P)
Compound: PrTeSe
Source: Alexandria via LeMat-Bulk
Functional: GGA-PBE
Structure: optimized geometry

The structure in CIF format:
```
data_PrTeSe
_chemical_formula_sum 'Pr2 Te2 Se2'
_cell_length_a 9.499
_cell_length_b 9.499
_cell_length_c 9.499
_cell_angle_alpha 153.41
_cell_angle_beta 153.41
_cell_angle_gamma 37.96
_space_group_name_H-M_alt 'P 1'
_space_group_IT_number 1
_space_group_name_Hall 'P 1'
loop_
_atom_site_label
_atom_site_type_symbol
_atom_site_fract_x
_atom_site_fract_y
_atom_site_fract_z
Pr1 Pr 0.150 0.150 0.000
Pr2 Pr 0.850 0.850 0.000
Te1 Te 0.000 0.500 0.500
Te2 Te 0.500 0.000 0.500
Se1 Se 0.316 0.316 0.000
Se2 Se 0.684 0.684 0.000
```

=====

(Q)
Compound: PrTeSe
Source: Alexandria via LeMat-Bulk
Functional: GGA-PBE
Structure: optimized geometry

The structure in CIF format:
```
data_PrTeSe
_chemical_formula_sum 'Pr1 Te1 Se1'
_cell_length_a 5.998
_cell_length_b 5.998
_cell_length_c 5.998
_cell_angle_alpha 140.93
_cell_angle_beta 140.93
_cell_angle_gamma 56.45
_space_group_name_H-M_alt 'P 1'
_space_group_IT_number 1
_space_group_name_Hall 'P 1'
loop_
_atom_site_label
_atom_site_type_symbol
_atom_site_fract_x
_atom_site_fract_y
_atom_site_fract_z
Pr1 Pr 0.000 0.000 0.000
Te1 Te 0.672 0.672 0.000
Se1 Se 0.384 0.384 0.000
```

=====

Stability summary: most stable (P), least stable (Q).

=====

(P)
Compound: Pr3TeSe2
Source: Alexandria via LeMat-Bulk
Functional: GGA-PBE
Structure: optimized geometry

The structure in CIF format:
```
data_Pr3TeSe2
_chemical_formula_sum 'Pr6 Te2 Se4'
_cell_length_a 8.274
_cell_length_b 8.274
_cell_length_c 8.274
_cell_angle_alpha 124.42
_cell_angle_beta 93.93
_cell_angle_gamma 111.49
_space_group_name_H-M_alt 'P 1'
_space_group_IT_number 1
_space_group_name_Hall 'P 1'
loop_
_atom_site_label
_atom_site_type_symbol
_atom_site_fract_x
_atom_site_fract_y
_atom_site_fract_z
Pr1 Pr 0.000 0.229 0.229
Pr2 Pr 0.000 0.771 0.771
Pr3 Pr 0.500 0.000 0.000
Pr4 Pr 0.500 0.229 0.729
Pr5 Pr 0.500 0.500 0.500
Pr6 Pr 0.500 0.771 0.271
Te1 Te 0.204 0.954 0.250
Te2 Te 0.796 0.046 0.750
Se1 Se 0.263 0.724 0.540
Se2 Se 0.316 0.276 0.040
Se3 Se 0.684 0.724 0.960
Se4 Se 0.737 0.276 0.460
```

=====

(Q)
Compound: Pr3TeSe2
Source: Alexandria via LeMat-Bulk
Functional: GGA-PBE
Structure: optimized geometry

The structure in CIF format:
```
data_Pr3TeSe2
_chemical_formula_sum 'Pr6 Te2 Se4'
_cell_length_a 7.554
_cell_length_b 7.554
_cell_length_c 7.560
_cell_angle_alpha 99.50
_cell_angle_beta 99.50
_cell_angle_gamma 120.41
_space_group_name_H-M_alt 'P 1'
_space_group_IT_number 1
_space_group_name_Hall 'P 1'
loop_
_atom_site_label
_atom_site_type_symbol
_atom_site_fract_x
_atom_site_fract_y
_atom_site_fract_z
Pr1 Pr 0.000 0.500 0.000
Pr2 Pr 0.132 0.318 0.494
Pr3 Pr 0.318 0.132 0.994
Pr4 Pr 0.500 0.000 0.500
Pr5 Pr 0.682 0.868 0.006
Pr6 Pr 0.868 0.682 0.506
Te1 Te 0.425 0.575 0.250
Te2 Te 0.575 0.425 0.750
Se1 Se 0.083 0.917 0.250
Se2 Se 0.259 0.741 0.750
Se3 Se 0.741 0.259 0.250
Se4 Se 0.917 0.083 0.750
```

=====

Stability summary: most stable (Q), least stable (P).

=====

(P)
Compound: Pr2Th3Se8
Source: Alexandria via LeMat-Bulk
Functional: GGA-PBE
Structure: optimized geometry

The structure in CIF format:
```
data_Pr2Th3Se8
_chemical_formula_sum 'Pr2 Th3 Se8'
_cell_length_a 8.619
_cell_length_b 8.619
_cell_length_c 7.057
_cell_angle_alpha 105.79
_cell_angle_beta 105.79
_cell_angle_gamma 59.28
_space_group_name_H-M_alt 'P 1'
_space_group_IT_number 1
_space_group_name_Hall 'P 1'
loop_
_atom_site_label
_atom_site_type_symbol
_atom_site_fract_x
_atom_site_fract_y
_atom_site_fract_z
Pr1 Pr 0.244 0.244 0.167
Pr2 Pr 0.756 0.756 0.833
Th1 Th 0.247 0.753 0.500
Th2 Th 0.500 0.500 0.000
Th3 Th 0.753 0.247 0.500
Se1 Se 0.111 0.111 0.407
Se2 Se 0.137 0.614 0.082
Se3 Se 0.378 0.378 0.580
Se4 Se 0.386 0.863 0.918
Se5 Se 0.614 0.137 0.082
Se6 Se 0.622 0.622 0.420
Se7 Se 0.863 0.386 0.918
Se8 Se 0.889 0.889 0.593
```

=====

(Q)
Compound: Pr2Th3Se8
Source: Alexandria via LeMat-Bulk
Functional: GGA-PBE
Structure: optimized geometry

The structure in CIF format:
```
data_Pr2Th3Se8
_chemical_formula_sum 'Pr2 Th3 Se8'
_cell_length_a 7.519
_cell_length_b 4.290
_cell_length_c 13.696
_cell_angle_alpha 90.00
_cell_angle_beta 101.33
_cell_angle_gamma 90.00
_space_group_name_H-M_alt 'P 1'
_space_group_IT_number 1
_space_group_name_Hall 'P 1'
loop_
_atom_site_label
_atom_site_type_symbol
_atom_site_fract_x
_atom_site_fract_y
_atom_site_fract_z
Pr1 Pr 0.247 0.000 0.251
Pr2 Pr 0.753 0.000 0.749
Th1 Th 0.245 0.500 0.734
Th2 Th 0.500 0.000 0.000
Th3 Th 0.755 0.500 0.266
Se1 Se 0.121 0.500 0.368
Se2 Se 0.142 0.000 0.869
Se3 Se 0.380 0.000 0.629
Se4 Se 0.380 0.500 0.124
Se5 Se 0.620 0.000 0.371
Se6 Se 0.620 0.500 0.876
Se7 Se 0.858 0.000 0.131
Se8 Se 0.879 0.500 0.632
```

=====

Stability summary: most stable (Q), least stable (P).

=====

(P)
Compound: PrTh2Se4
Source: Alexandria via LeMat-Bulk
Functional: GGA-PBE
Structure: optimized geometry

The structure in CIF format:
```
data_PrTh2Se4
_chemical_formula_sum 'Pr2 Th4 Se8'
_cell_length_a 7.717
_cell_length_b 7.717
_cell_length_c 7.717
_cell_angle_alpha 109.45
_cell_angle_beta 109.45
_cell_angle_gamma 109.52
_space_group_name_H-M_alt 'P 1'
_space_group_IT_number 1
_space_group_name_Hall 'P 1'
loop_
_atom_site_label
_atom_site_type_symbol
_atom_site_fract_x
_atom_site_fract_y
_atom_site_fract_z
Pr1 Pr 0.000 0.000 0.000
Pr2 Pr 0.750 0.250 0.500
Th1 Th 0.246 0.125 0.621
Th2 Th 0.375 0.754 0.879
Th3 Th 0.504 0.625 0.379
Th4 Th 0.875 0.496 0.121
Se1 Se 0.128 0.379 0.406
Se2 Se 0.129 0.378 0.906
Se3 Se 0.279 0.872 0.252
Se4 Se 0.471 0.223 0.094
Se5 Se 0.621 0.027 0.748
Se6 Se 0.622 0.529 0.752
Se7 Se 0.777 0.871 0.248
Se8 Se 0.973 0.721 0.594
```

=====

(Q)
Compound: PrTh2Se4
Source: Alexandria via LeMat-Bulk
Functional: GGA-PBE
Structure: optimized geometry

The structure in CIF format:
```
data_PrTh2Se4
_chemical_formula_sum 'Pr2 Th4 Se8'
_cell_length_a 7.123
_cell_length_b 7.123
_cell_length_c 14.524
_cell_angle_alpha 90.00
_cell_angle_beta 90.00
_cell_angle_gamma 146.97
_space_group_name_H-M_alt 'P 1'
_space_group_IT_number 1
_space_group_name_Hall 'P 1'
loop_
_atom_site_label
_atom_site_type_symbol
_atom_site_fract_x
_atom_site_fract_y
_atom_site_fract_z
Pr1 Pr 0.115 0.885 0.750
Pr2 Pr 0.885 0.115 0.250
Th1 Th 0.358 0.642 0.564
Th2 Th 0.358 0.642 0.936
Th3 Th 0.642 0.358 0.064
Th4 Th 0.642 0.358 0.436
Se1 Se 0.000 0.000 0.000
Se2 Se 0.000 0.000 0.500
Se3 Se 0.285 0.715 0.130
Se4 Se 0.285 0.715 0.370
Se5 Se 0.451 0.549 0.750
Se6 Se 0.549 0.451 0.250
Se7 Se 0.715 0.285 0.630
Se8 Se 0.715 0.285 0.870
```

=====

Stability summary: most stable (P), least stable (Q).